VASP calculation (PBE-GGA) on a relaxed Mg2TaRu crystal.

The calculation puts the volume at 207.74 Å³ per cell. The value obtained for the energy is -5.851 eV/atom. The relative energy among the computed polymorphs comes out at 0.325 eV/atom.

The space group is R-3m (No. 166, hexagonal axes) and the conventional cell measures 2.8880, 2.8880 and 28.7602 Å, with angles of 90.00, 90.00 and 120.00 degrees. The asymmetric unit holds Mg at (0.0000, 0.0000, 0.2419), Ta at (0.0000, 0.0000, 0.0000) and Ru at (0.0000, 0.0000, 0.5000).


VASP calculation (PBE-GGA) on a relaxed Mg2TaRu crystal.

The calculation puts the volume at 148.37 Å³ per cell. The value obtained for the energy is -6.011 eV/atom. The relative energy among the computed polymorphs comes out at 0.166 eV/atom.

The space group is Cmm2 (No. 35) and the conventional cell measures 3.374, 4.789 and 9.182 Å, with angles of 90.00, 90.00 and 90.00 degrees. The asymmetric unit holds Mg at (0.000, 0.000, 0.000), Mg at (0.000, 0.500, 0.289), Ta at (0.000, 0.000, 0.561) and Ru at (0.000, 0.500, 0.767).